Record 1
This record from Alexandria via LeMat-Bulk describes a relaxed BaCaSnAs2 crystal. The functional is PBE.

Lattice parameters (Å, degrees): 6.289 7.678 6.780 115.95 90.00 90.00
Atoms (fractional coordinates):
Ca1 0.500 0.000 0.750
Ca2 0.500 0.000 0.250
As1 0.712 0.315 0.656
As2 0.288 0.315 0.156
As3 0.288 0.685 0.344
As4 0.712 0.685 0.844
Sn1 0.000 0.000 0.500
Sn2 0.000 0.000 0.000
Ba1 0.781 0.500 0.250
Ba2 0.219 0.500 0.750

Summary:
Density ... 5.03 g cm⁻³
E_form ... -17.4 kcal/mol of atoms
N(E_F) ... 5.51 states/eV/cell


Record 2
This record from Alexandria via LeMat-Bulk describes a relaxed RbRhN2O crystal. The functional is PBE.

Lattice parameters (Å, degrees): 4.507 4.507 4.152 90.00 90.00 90.00
Each line ends with the local moment (μB).
Atoms (fractional coordinates):
Rh1 0.500 0.500 0.500  -0.29
Rb1 0.000 0.000 0.000  0.00
N1 0.500 0.000 0.000  0.62
N2 0.000 0.500 0.000  0.62
O1 0.000 0.000 0.500  0.28

Summary:
Density ... 4.58 g cm⁻³
Raw formation energy ... 296.87 kJ per mole of atoms
N(E_F) ... 8.60 states/eV/cell


Record 3
This record from Alexandria via LeMat-Bulk describes a relaxed PmNd2Sm6Ho3 crystal. The functional is PBE.

Lattice parameters (Å, degrees): 6.262 6.262 11.965 95.00 95.00 120.00
Atoms (fractional coordinates):
Sm1 0.418 0.085 0.254
Sm2 0.915 0.582 0.746
Sm3 0.248 0.248 0.746
Sm4 0.752 0.752 0.254
Sm5 0.582 0.915 0.746
Sm6 0.085 0.418 0.254
Nd1 0.667 0.333 0.000
Nd2 0.333 0.667 0.000
Ho1 0.833 0.167 0.500
Ho2 0.500 0.500 0.500
Ho3 0.167 0.833 0.500
Pm1 0.000 0.000 0.000

Summary:
Density ... 7.60 g cm⁻³
E_form ... 0.4 kcal/mol of atoms
N(E_F) ... 16.03 states/eV/cell


Record 4
This record from Alexandria via LeMat-Bulk describes a relaxed Rb2HCl crystal. The functional is PBE.

Lattice parameters (Å, degrees): 3.842 3.842 7.694 90.00 90.00 90.00
Atoms (fractional coordinates):
Rb1 0.000 0.000 0.764
Rb2 0.000 0.000 0.236
H1 0.500 0.500 0.000
Cl1 0.500 0.500 0.500

Summary:
Density ... 3.03 g cm⁻³
N(E_F) ... 0.00 states/eV/cell
E above lowest polymorph ... 68.3 meV per atom


Record 5
This record from Alexandria via LeMat-Bulk describes a relaxed TiBeAu3 crystal. The functional is PBE.

Lattice parameters (Å, degrees): 4.988 4.988 4.988 90.00 90.00 90.00
Each line ends with the local moment (μB).
Atoms (fractional coordinates):
Ti1 0.000 0.000 0.000  0.71
Au1 0.000 0.500 0.000  0.01
Au2 0.500 0.000 0.000  0.04
Au3 0.000 0.000 0.500  -0.01
Be1 0.500 0.500 0.500  -0.05

Summary:
Density ... 8.67 g cm⁻³
E_form ... 24.8 kcal/mol of atoms
N(E_F) ... 2.97 states/eV/cell
E above lowest polymorph ... 983.9 meV per atom


Record 6
This record from Alexandria via LeMat-Bulk describes a relaxed ZnRu3C crystal. The functional is PBE.

Lattice parameters (Å, degrees): 4.535 4.535 4.535 90.00 90.00 90.00
Each line ends with the local moment (μB).
Atoms (fractional coordinates):
Ru1 0.500 0.000 0.000  1.37
Ru2 0.000 0.500 0.000  1.70
Ru3 0.000 0.000 0.500  1.92
Zn1 0.000 0.000 0.000  0.03
C1 0.500 0.500 0.500  -0.32

Summary:
Density ... 6.78 g cm⁻³
E_form ... 67.3 kcal/mol of atoms
N(E_F) ... 7.43 states/eV/cell
E above lowest polymorph ... 2726.6 meV per atom